[1]
A plane-wave DFT calculation with PBE was carried out for a relaxed structure of InCuPt2.

POSCAR file:
```
InCuPt2
1.0
3.000 0.021 0.000
-0.021 3.000 0.000
0.000 0.000 7.046
Pt Cu In
2 1 1
Direct
0.000 0.000 0.021 Pt
0.000 0.000 0.479 Pt
0.500 0.500 0.250 Cu
0.500 0.500 0.750 In
```

## Properties
ΔE_f	-28.8	kJ per mole of atoms

=====

[2]
A plane-wave DFT calculation with PBE was carried out for a relaxed structure of In2CuPt.

POSCAR file:
```
In2CuPt
1.0
7.339 -0.010 -0.020
-2.785 3.509 0.016
1.769 1.367 2.782
In Pt Cu
2 1 1
Direct
0.000 0.000 0.000 In
0.500 0.000 0.500 In
0.000 0.500 0.500 Pt
0.500 0.500 0.000 Cu
```

## Properties
ΔE_f	-13.9	kJ per mole of atoms

=====

[3]
A plane-wave DFT calculation with PBE was carried out for a relaxed structure of InCuPt2.

POSCAR file:
```
InCuPt2
1.0
3.693 0.000 0.000
0.000 2.966 0.015
0.000 2.953 5.828
Pt Cu In
2 1 1
Direct
0.000 0.514 0.486 Pt
0.000 0.986 0.014 Pt
0.500 0.250 0.250 Cu
0.500 0.750 0.750 In
```

## Properties
ΔE_f	-32.5	kJ per mole of atoms

=====

[4]
A plane-wave DFT calculation with PBE was carried out for a relaxed structure of InCuPt2.

POSCAR file:
```
InCuPt2
1.0
3.933 0.000 0.000
0.000 3.933 0.000
1.966 1.966 9.139
Pt In Cu
4 2 2
Direct
0.608 0.125 0.250 Pt
0.375 0.392 0.750 Pt
0.142 0.625 0.250 Pt
0.875 0.858 0.750 Pt
0.750 0.250 0.500 In
0.000 0.000 0.000 In
0.250 0.750 0.500 Cu
0.500 0.500 0.000 Cu
```

## Properties
ΔE_f	-3.7	kJ per mole of atoms

=====

> Among the records above, which one has the lowest ΔE_f?

number 3

=====

> Which of these has the lowest ΔE_f?

number 3